A relaxed MgWN2F crystal, computed with PBE+U.

## Properties
Offset from the most stable computed form ... 0.000 eV/atom
Space group ... P4/mmm (123)
E ... -5.917 eV/atom
Size of the total moment ... 0.1918 μB/atom

```
MgWN2F
1.0
-1.817 -3.478 -0.942
-0.259 -0.927 3.920
-3.633 1.845 0.196
Mg N W F
1 2 1 1
Direct
0.500 0.500 0.500
0.000 0.500 0.000
0.500 0.000 0.000
0.000 0.000 0.000
0.000 0.000 0.500
```

A relaxed MgWN2F crystal, computed with PBE+U.

## Properties
Offset from the most stable computed form ... 0.717 eV/atom
Space group ... P4/mmm (123)
E ... -5.200 eV/atom
Size of the total moment ... 0.2025 μB/atom

```
MgWN2F
1.0
4.019 0.000 0.000
0.000 4.019 0.000
0.000 0.000 3.501
Mg N W F
1 2 1 1
Direct
0.000 0.000 0.000
0.000 0.500 0.000
0.500 0.000 0.000
0.500 0.500 0.500
0.000 0.000 0.500
```